VASP calculation (PBE) on a relaxed structure of PuCuTcGe.

Cell: 4.5718 4.5718 4.5718 Å, 60.00 60.00 60.00°
Fractional positions:
1 Pu 0.0000 0.0000 0.0000
2 Cu 0.7500 0.7500 0.7500
3 Tc 0.2500 0.2500 0.2500
4 Ge 0.5000 0.5000 0.5000

Results
Energy of formation from the pure elements ... 0.40 eV per formula unit
Calculated total energy ... -33.01 eV for the cell shown
SG ... F-43m